The following is a DFT calculation (PBE) of FeOs after structural relaxation.

```
2
Lattice="1.336 0.771 4.217 -1.336 0.771 4.217 0.000 -1.543 4.217" Properties=species:S:1:pos:R:3 pbc="T T T"
Fe 0.000 0.000 0.000
Os 0.000 0.000 6.326
```

Results
Space group   R-3m
Final energy   -19.34 eV/f.u.

---

The following is a DFT calculation (PBE) of Sm3CdAg2 after structural relaxation.

```
6
Lattice="3.745 0.000 0.000 0.000 3.745 0.000 0.000 0.000 11.224" Properties=species:S:1:pos:R:3 pbc="T T T"
Sm 0.000 0.000 0.000
Sm 0.000 0.000 3.678
Sm 0.000 0.000 7.546
Cd 1.872 1.872 5.612
Ag 1.872 1.872 1.853
Ag 1.872 1.872 9.370
```

Results
Space group   P4/mmm
Final energy   -22.53 eV/f.u.

---

The following is a DFT calculation (PBE) of PaP2Se6 after structural relaxation.

```
9
Lattice="3.392 1.958 7.488 -3.392 1.958 7.488 0.000 -3.916 7.488" Properties=species:S:1:pos:R:3 pbc="T T T"
Pa 0.000 0.000 0.000
P 0.000 0.000 13.847
P 0.000 0.000 16.120
Se -2.471 -0.023 9.286
Se -1.200 -1.778 13.197
Se 1.256 -2.129 9.286
Se -0.939 1.928 13.197
Se 1.216 2.152 9.286
Se 2.140 -0.151 13.197
```

Results
Energy relative to the elements, uncorrected   -462.1 meV per atom
Space group   R3
Offset from the most stable computed form   0 meV/atom

---

The following is a DFT calculation (PBE) of Pm2ScPO8 after structural relaxation.

```
12
Lattice="5.280 0.000 0.000 -2.640 4.573 0.000 0.000 0.000 5.867" Properties=species:S:1:pos:R:3 pbc="T T T"
Pm 0.000 3.049 2.124
Pm 2.640 1.524 3.743
Sc 0.000 0.000 0.000
P 0.000 0.000 2.934
O 0.000 1.373 3.959
O -1.451 3.887 3.959
O 1.189 0.686 1.908
O 0.000 3.049 0.047
O 2.640 1.524 5.820
O 1.451 3.887 3.959
O 4.092 0.686 1.908
O 2.640 3.200 1.908
```

Results
Energy relative to the elements, uncorrected   -2241.8 meV per atom
Space group   P-3m1

---

The following is a DFT calculation (PBE) of NdGa4Ru4 after structural relaxation.

```
18
Lattice="5.831 0.000 0.000 0.000 5.831 0.000 0.000 0.000 9.047" Properties=species:S:1:pos:R:3 pbc="T T T"
Nd 1.458 4.373 2.262
Nd 4.373 1.458 6.785
Ga 0.179 1.458 0.462
Ga 1.458 0.179 4.985
Ga 1.458 2.736 4.985
Ga 2.736 1.458 0.462
Ga 3.095 4.373 8.585
Ga 4.373 3.095 4.062
Ga 4.373 5.652 4.062
Ga 5.652 4.373 8.585
Ru 0.166 1.458 3.079
Ru 1.458 0.166 7.603
Ru 1.458 2.750 7.603
Ru 2.750 1.458 3.079
Ru 3.081 4.373 5.968
Ru 4.373 3.081 1.444
Ru 4.373 5.665 1.444
Ru 5.665 4.373 5.968
```

Results
Space group   P4_2/nmc
Final energy   -56.74 eV/f.u.

---

The following is a DFT calculation (PBE) of HfTi3In3 after structural relaxation.

```
14
Lattice="8.157 0.000 0.000 -4.079 7.064 0.000 0.000 0.000 4.840" Properties=species:S:1:pos:R:3 pbc="T T T"
Hf 0.000 4.710 1.210
Hf 4.079 2.355 3.630
Ti -3.093 5.670 1.210
Ti 0.715 1.551 1.210
Ti 1.701 0.156 3.630
Ti 2.378 6.908 1.210
Ti 3.364 5.513 3.630
Ti 7.172 1.395 3.630
In -1.901 4.453 3.630
In 1.173 3.192 3.630
In 3.350 0.580 1.210
In 0.728 6.484 3.630
In 2.906 3.873 1.210
In 5.980 2.611 1.210
```

Results
Space group   P6_3/m
Final energy   -42.35 eV/f.u.

---

no.,D(E_F) (states/eV/cell),magnetization (μB per cell)
1,2.4,1.88
2,5.3,0.00
3,3.1,0.68
4,3.4,2.01
5,12.5,0.00
6,13.9,0.00